1.
A plane-wave DFT calculation with PBE was carried out for a relaxed structure of Ac2TbPm9.

Computed properties:
space group: P4/mmm, No. 123
energy of formation: 29 meV/atom
volume: 35.7 Å³/atom
final energy: -4.60 eV per atom

Cell: 5.225 5.225 15.686 Å, 90.00 90.00 90.00°
Positions (direct):
Ac: 0.000 0.000 0.331
Ac: 0.000 0.000 0.669
Tb: 0.000 0.000 0.000
Pm: 0.500 0.500 0.000
Pm: 0.500 0.500 0.330
Pm: 0.500 0.500 0.670
Pm: 0.500 0.000 0.160
Pm: 0.500 0.000 0.500
Pm: 0.500 0.000 0.840
Pm: 0.000 0.500 0.160
Pm: 0.000 0.500 0.500
Pm: 0.000 0.500 0.840

***

2.
A plane-wave DFT calculation with PBE was carried out for a relaxed structure of PmSmPaSn.

Computed properties:
space group: F-43m, No. 216
energy of formation: 19 meV/atom
volume: 28.1 Å³/atom
final energy: -5.72 eV per atom

Cell: 5.416 5.416 5.416 Å, 60.00 60.00 60.00°
Each line ends with the local moment (μB).
Positions (direct):
Pa: 0.000 0.000 0.000  0.74
Sn: 0.500 0.500 0.500  -0.03
Sm: 0.250 0.250 0.250  0.12
Pm: 0.750 0.750 0.750  0.11

***

3.
A plane-wave DFT calculation with PBE was carried out for a relaxed structure of LiTlIn2Ni.

Computed properties:
space group: P4/mmm, No. 123
energy of formation: -33 meV/atom
volume: 24.3 Å³/atom
final energy: -3.14 eV per atom

Cell: 4.941 4.941 4.976 Å, 90.00 90.00 90.00°
Positions (direct):
Ni: 0.000 0.000 0.000
Tl: 0.500 0.500 0.500
Li: 0.000 0.000 0.500
In: 0.000 0.500 0.000
In: 0.500 0.000 0.000

***

4.
A plane-wave DFT calculation with PBE was carried out for a relaxed structure of AlAsRu3.

Computed properties:
space group: Pm-3m, No. 221
energy of formation: 712 meV/atom
volume: 17.9 Å³/atom
final energy: -6.53 eV per atom

Cell: 4.477 4.477 4.477 Å, 90.00 90.00 90.00°
Positions (direct):
Ru: 0.000 0.500 0.000
Ru: 0.000 0.000 0.500
Ru: 0.500 0.000 0.000
As: 0.000 0.000 0.000
Al: 0.500 0.500 0.500

***

5.
A plane-wave DFT calculation with PBE was carried out for a relaxed structure of Te2MoP.

Computed properties:
raw formation energy: 19 meV per atom
space group: R3m, No. 160
volume: 22.7 Å³/atom
final energy: -5.61 eV per atom

Cell: 9.545 9.545 9.545 Å, 20.21 20.21 20.21°
Positions (direct):
Te: 0.018 0.018 0.018
Te: 0.225 0.225 0.225
Mo: 0.489 0.489 0.489
P: 0.768 0.768 0.768

***

6.
A plane-wave DFT calculation with PBE was carried out for a relaxed structure of Tb2SiSe5.

Computed properties:
raw formation energy: -1111 meV per atom
space group: Cmcm, No. 63
volume: 29.7 Å³/atom
final energy: -5.12 eV per atom

Cell: 5.434 7.342 12.821 Å, 90.00 90.00 111.72°
Positions (direct):
Tb: 0.844 0.687 0.427
Tb: 0.844 0.687 0.073
Tb: 0.156 0.313 0.573
Tb: 0.156 0.313 0.927
Si: 0.834 0.668 0.750
Si: 0.166 0.332 0.250
Se: 0.953 0.905 0.886
Se: 0.953 0.905 0.614
Se: 0.295 0.589 0.392
Se: 0.295 0.589 0.108
Se: 0.708 0.416 0.250
Se: 0.292 0.584 0.750
Se: 0.705 0.411 0.608
Se: 0.705 0.411 0.892
Se: 0.047 0.095 0.114
Se: 0.047 0.095 0.386

***

Number 1: total magnetization 0.0 μB per formula unit, N(E_F) 20.32 states/eV/f.u.. Number 2: total magnetization 1.3 μB per formula unit, N(E_F) 7.02 states/eV/f.u.. Number 3: total magnetization 0.0 μB per formula unit, N(E_F) 2.44 states/eV/f.u.. Number 4: total magnetization 0.0 μB per formula unit, N(E_F) 4.68 states/eV/f.u.. Number 5: total magnetization 0.0 μB per formula unit, N(E_F) 1.92 states/eV/f.u.. Number 6: total magnetization 0.0 μB per formula unit, N(E_F) 0.51 states/eV/f.u..